Record 1
! Rb5CoO4 | the Alexandria database | PBE+U | optimized geometry; values from VASP
! DOS at the Fermi energy = 6.328 states/eV/f.u.
! Distance to the lowest polymorph of the same formula = 69 meV/atom
&SYSTEM
  ibrav = 0, nat = 10, ntyp = 3
/
ATOMIC_SPECIES
Rb 85.47 Rb.upf
Co 58.93 Co.upf
O 16.00 O.upf
CELL_PARAMETERS angstrom
-3.3153 -2.1137 -1.7599
2.4495 -7.7770 4.7260
-2.8611 5.0081 4.6468
ATOMIC_POSITIONS crystal
Rb 0.2034 0.3206 0.4069
Rb 0.1517 0.8640 0.3033
Rb 0.8483 0.1360 0.6967
Rb 0.5000 0.5000 0.0000
Rb 0.7966 0.6794 0.5931
Co 0.5000 0.0000 0.0000
O 0.6291 0.0432 0.2581
O 0.1432 0.5698 0.2864
O 0.3709 0.9568 0.7419
O 0.8568 0.4302 0.7136

***

Record 2
! CaVBO5 | the Alexandria database | PBE+U | optimized geometry; values from VASP
! VASP energy = -119.156 eV for the cell shown
&SYSTEM
  ibrav = 0, nat = 16, ntyp = 4
/
ATOMIC_SPECIES
Ca 40.08 Ca.upf
V 50.94 V.upf
B 10.81 B.upf
O 16.00 O.upf
CELL_PARAMETERS angstrom
5.2222 0.0706 -0.0680
-1.4569 5.0153 -0.0680
-1.6466 -2.2242 6.3457
ATOMIC_POSITIONS crystal
Ca 0.3376 0.6624 0.2500
Ca 0.6624 0.3376 0.7500
V 0.0000 0.0000 0.5000
V 0.0000 0.0000 0.0000
B 0.6862 0.3138 0.2500
B 0.3138 0.6862 0.7500
O 0.0681 0.9319 0.2500
O 0.9319 0.0681 0.7500
O 0.8800 0.3074 0.1239
O 0.1200 0.6926 0.8761
O 0.6926 0.1200 0.3761
O 0.3074 0.8800 0.6239
O 0.7595 0.6109 0.4003
O 0.2405 0.3891 0.5997
O 0.3891 0.2405 0.0997
O 0.6109 0.7595 0.9003